Entry from Alexandria via LeMat-Bulk: a relaxed structure of Nd5CdBi4 (PBE-GGA).

Cell: 10.278 10.278 6.493 Å, 90.00 90.00 90.00°
Space group I4 (No. 79)
Symmetry-distinct sites (fractional):
1 Nd 0.000 0.000 0.000 x2
2 Nd 0.105 0.692 0.499 x8
3 Cd 0.000 0.000 0.500 x2
4 Bi 0.101 0.701 0.999 x8

Summary:
ΔE_f: -0.74 eV/atom

***

Entry from Alexandria via LeMat-Bulk: a relaxed structure of Sm3InSi2Rh9 (PBE-GGA).

Cell: 6.1045 6.1045 9.5887 Å, 90.00 90.00 120.00°
Space group P-3m1 (No. 164)
Symmetry-distinct sites (fractional):
1 Sm 0.0000 0.0000 0.0000 x1
2 Sm 0.3333 0.6667 0.7326 x2
3 In 0.0000 0.0000 0.5000 x1
4 Si 0.3333 0.6667 0.1585 x2
5 Rh 0.0000 0.5000 0.0000 x3
6 Rh 0.1456 0.2912 0.2643 x6

Summary:
ΔE_f (raw): -711 kJ/mol of formula units

***

Entry from Alexandria via LeMat-Bulk: a relaxed structure of Ni2SeI8 (PBE-GGA).

Cell: 11.315 10.515 9.847 Å, 90.00 109.96 90.00°
Space group C2/m (No. 12)
Symmetry-distinct sites (fractional):
1 Ni 0.119 0.000 0.400 x4
2 Se 0.000 0.000 0.000 x2
3 I 0.110 0.182 0.213 x8
4 I 0.121 0.000 0.659 x4
5 I 0.142 0.500 0.486 x4

Summary:
ΔE_f (raw): 28 kJ/mol of formula units

***

no.,density (kg/m3)
1,8084
2,8308
3,3654